Here is a relaxed structure of CuRe2Ir from Alexandria. Energies are from GGA-PBE. Values from VASP.

Calculated values
The density of states at the Fermi level comes out at 2.99 states/eV/f.u. For the final energy, the calculation gives -36.944 eV/cell. For the energy relative to the elements, the calculation gives 0.227 eV/atom. Its relative energy among the computed polymorphs is 0.134 eV per atom.

Quantum ESPRESSO input file:
```
&SYSTEM
  ibrav = 0, nat = 4, ntyp = 3
/
ATOMIC_SPECIES
Cu 63.55 Cu.upf
Re 186.21 Re.upf
Ir 192.22 Ir.upf
CELL_PARAMETERS angstrom
3.100 0.000 0.000
0.000 3.100 0.000
0.000 0.000 5.937
ATOMIC_POSITIONS crystal
Cu 0.000 0.000 0.000
Re 0.000 0.000 0.517
Re 0.500 0.500 0.761
Ir 0.500 0.500 0.228
```



Here is a relaxed structure of GdIn2Se from Alexandria. Energies are from GGA-PBE. Values from VASP.

Calculated values
The density of states at the Fermi level comes out at 5.91 states/eV/f.u. For the final energy, the calculation gives -70.343 eV/cell. As for the formation energy without anion corrections: -0.101 eV per atom.

Quantum ESPRESSO input file:
```
&SYSTEM
  ibrav = 0, nat = 12, ntyp = 3
/
ATOMIC_SPECIES
Gd 157.25 Gd.upf
In 114.82 In.upf
Se 78.96 Se.upf
CELL_PARAMETERS angstrom
3.751 0.000 0.000
-1.876 3.249 0.000
0.000 0.000 30.531
ATOMIC_POSITIONS crystal
Gd 0.000 0.000 0.000
Gd 0.333 0.667 0.667
Gd 0.667 0.333 0.333
In 0.000 0.000 0.104
In 0.000 0.000 0.896
In 0.333 0.667 0.563
In 0.333 0.667 0.771
In 0.667 0.333 0.229
In 0.667 0.333 0.437
Se 0.000 0.000 0.500
Se 0.333 0.667 0.167
Se 0.667 0.333 0.833
```



Here is a relaxed structure of EuTlGe from Alexandria. Energies are from GGA-PBE. Values from VASP.

Calculated values
The density of states at the Fermi level comes out at 3.89 states/eV/f.u. For the final energy, the calculation gives -35.973 eV/cell. For the energy relative to the elements, the calculation gives -0.243 eV/atom. Its relative energy among the computed polymorphs is 0.112 eV per atom.

Quantum ESPRESSO input file:
```
&SYSTEM
  ibrav = 0, nat = 6, ntyp = 3
/
ATOMIC_SPECIES
Eu 151.96 Eu.upf
Tl 204.38 Tl.upf
Ge 72.64 Ge.upf
CELL_PARAMETERS angstrom
3.782 0.000 0.000
0.000 3.782 0.000
0.000 0.000 11.348
ATOMIC_POSITIONS crystal
Eu 0.000 0.000 0.000
Eu 0.500 0.500 0.500
Tl 0.000 0.000 0.696
Tl 0.500 0.500 0.196
Ge 0.000 0.000 0.325
Ge 0.500 0.500 0.825
```



Here is a relaxed structure of SmY2Be from Alexandria. Energies are from GGA-PBE. Values from VASP.

Calculated values
The density of states at the Fermi level comes out at 4.55 states/eV/f.u. For the final energy, the calculation gives -21.117 eV/cell. For the energy relative to the elements, the calculation gives 0.064 eV/atom.

Quantum ESPRESSO input file:
```
&SYSTEM
  ibrav = 0, nat = 4, ntyp = 3
/
ATOMIC_SPECIES
Sm 150.36 Sm.upf
Y 88.91 Y.upf
Be 9.01 Be.upf
CELL_PARAMETERS angstrom
3.477 0.000 0.000
0.000 3.477 0.000
0.000 0.000 8.766
ATOMIC_POSITIONS crystal
Sm 0.000 0.000 0.000
Y 0.500 0.500 0.310
Y 0.500 0.500 0.690
Be 0.000 0.000 0.500
```



Here is a relaxed structure of Ba2TiCu2Se6 from Alexandria. Energies are from GGA-PBE. Values from VASP.

Calculated values
The density of states at the Fermi level comes out at 3.03 states/eV/f.u. For the final energy, the calculation gives -51.867 eV/cell. As for the formation energy without anion corrections: -1.002 eV per atom.

Quantum ESPRESSO input file:
```
&SYSTEM
  ibrav = 0, nat = 11, ntyp = 4
/
ATOMIC_SPECIES
Ba 137.33 Ba.upf
Ti 47.87 Ti.upf
Cu 63.55 Cu.upf
Se 78.96 Se.upf
CELL_PARAMETERS angstrom
6.651 -3.218 0.000
6.651 3.218 0.000
-4.228 0.000 6.849
ATOMIC_POSITIONS crystal
Ba 0.229 0.229 0.225
Ba 0.771 0.771 0.775
Ti 0.000 0.000 0.500
Cu 0.422 0.422 0.782
Cu 0.578 0.578 0.218
Se 0.194 0.705 0.207
Se 0.219 0.219 0.622
Se 0.295 0.806 0.793
Se 0.705 0.194 0.207
Se 0.781 0.781 0.378
Se 0.806 0.295 0.793
```